VASP calculation (GGA-PBE) on a relaxed structure of CsPuCrI6.

## Properties
* SG: P312 (149)
* uncorrected formation energy: -88.0 kJ/mol of atoms

abc: 7.785 7.785 8.647
angles: 90.00 90.00 120.00
Fractional coordinates of all 9 atoms:
Cs1 0.000 0.000 0.000
Pu1 0.333 0.667 0.500
Cr1 0.667 0.333 0.500
I1 0.381 0.026 0.694
I2 0.381 0.355 0.306
I3 0.645 0.026 0.306
I4 0.645 0.619 0.694
I5 0.974 0.355 0.694
I6 0.974 0.619 0.306

=====

VASP calculation (GGA-PBE) on a relaxed structure of Cs2RbCrI6.

## Properties
* SG: Fm-3m (225)
* uncorrected formation energy: -100.7 kJ/mol of atoms
* energy relative to the lowest polymorph listed for this composition: 4 kJ/mol of formula units

abc: 8.828 8.828 8.828
angles: 60.00 60.00 60.00
Fractional coordinates of all 10 atoms:
Cs1 0.250 0.250 0.250
Cs2 0.750 0.750 0.750
Rb1 0.000 0.000 0.000
Cr1 0.500 0.500 0.500
I1 0.279 0.279 0.721
I2 0.279 0.721 0.279
I3 0.279 0.721 0.721
I4 0.721 0.279 0.279
I5 0.721 0.279 0.721
I6 0.721 0.721 0.279

=====

VASP calculation (GGA-PBE) on a relaxed structure of Cs2RbCrI6.

## Properties
* SG: Pmmn (59)
* uncorrected formation energy: -101.1 kJ/mol of atoms
* energy relative to the lowest polymorph listed for this composition: 0 kJ/mol of formula units

abc: 8.398 12.493 9.574
angles: 90.00 90.00 90.00
Fractional coordinates of all 20 atoms:
Cs1 0.250 0.028 0.197
Cs2 0.250 0.472 0.197
Cs3 0.750 0.528 0.803
Cs4 0.750 0.972 0.803
Rb1 0.250 0.250 0.700
Rb2 0.750 0.750 0.300
Cr1 0.250 0.750 0.793
Cr2 0.750 0.250 0.207
I1 0.016 0.750 0.591
I2 0.020 0.750 0.001
I3 0.250 0.528 0.793
I4 0.250 0.972 0.793
I5 0.480 0.750 0.001
I6 0.484 0.750 0.591
I7 0.516 0.250 0.409
I8 0.520 0.250 0.999
I9 0.750 0.028 0.207
I10 0.750 0.472 0.207
I11 0.980 0.250 0.999
I12 0.984 0.250 0.409

=====

VASP calculation (GGA-PBE) on a relaxed structure of CsCrSbI6.

## Properties
* SG: P312 (149)
* uncorrected formation energy: -55.3 kJ/mol of atoms

abc: 7.735 7.735 8.674
angles: 90.00 90.00 120.00
Fractional coordinates of all 9 atoms:
Cs1 0.000 0.000 0.000
Cr1 0.333 0.667 0.500
Sb1 0.667 0.333 0.500
I1 0.018 0.383 0.695
I2 0.018 0.636 0.305
I3 0.364 0.383 0.305
I4 0.364 0.982 0.695
I5 0.617 0.636 0.695
I6 0.617 0.982 0.305

=====

VASP calculation (GGA-PBE) on a relaxed structure of CsCrSb2I.

## Properties
* SG: P4/mmm (123)
* uncorrected formation energy: 134.5 kJ/mol of atoms

abc: 6.509 6.509 6.842
angles: 90.00 90.00 90.00
Fractional coordinates of all 5 atoms:
Cs1 0.000 0.000 0.000
Cr1 0.500 0.500 0.500
Sb1 0.000 0.500 0.000
Sb2 0.500 0.000 0.000
I1 0.000 0.000 0.500

=====

VASP calculation (GGA-PBE) on a relaxed structure of CsCrSbI2.

## Properties
* SG: P4/mmm (123)
* uncorrected formation energy: -34.9 kJ/mol of atoms

abc: 5.983 5.983 5.246
angles: 90.00 90.00 90.00
Fractional coordinates of all 5 atoms:
Cs1 0.000 0.000 0.000
Cr1 0.500 0.500 0.500
Sb1 0.500 0.500 0.000
I1 0.000 0.500 0.500
I2 0.500 0.000 0.500

=====

VASP calculation (GGA-PBE) on a relaxed structure of Cs2CrSbI6.

## Properties
* SG: I4/mmm (139)
* uncorrected formation energy: -72.5 kJ/mol of atoms

abc: 8.504 8.504 8.504
angles: 120.07 120.07 89.88
Fractional coordinates of all 10 atoms:
Cs1 0.250 0.750 0.500
Cs2 0.750 0.250 0.500
Cr1 0.000 0.000 0.000
Sb1 0.500 0.500 0.000
I1 0.241 0.241 0.483
I2 0.241 0.759 0.000
I3 0.242 0.242 0.000
I4 0.758 0.758 0.000
I5 0.759 0.241 0.000
I6 0.759 0.759 0.517

=====

VASP calculation (GGA-PBE) on a relaxed structure of Cs2ScCrI6.

## Properties
* SG: Fm-3m (225)
* uncorrected formation energy: -102.4 kJ/mol of atoms

abc: 8.369 8.369 8.369
angles: 60.00 60.00 60.00
Fractional coordinates of all 10 atoms:
Cs1 0.250 0.250 0.250
Cs2 0.750 0.750 0.750
Sc1 0.000 0.000 0.000
Cr1 0.500 0.500 0.500
I1 0.248 0.248 0.752
I2 0.248 0.752 0.248
I3 0.248 0.752 0.752
I4 0.752 0.248 0.248
I5 0.752 0.248 0.752
I6 0.752 0.752 0.248

=====

VASP calculation (GGA-PBE) on a relaxed structure of Cs2CrSeI6.

## Properties
* SG: I4/mmm (139)
* uncorrected formation energy: -62.8 kJ/mol of atoms

abc: 8.369 8.369 8.369
angles: 117.82 117.82 93.82
Fractional coordinates of all 10 atoms:
Cs1 0.250 0.750 0.500
Cs2 0.750 0.250 0.500
Cr1 0.000 0.000 0.000
Se1 0.500 0.500 0.000
I1 0.226 0.226 0.451
I2 0.226 0.774 0.000
I3 0.255 0.255 0.000
I4 0.745 0.745 0.000
I5 0.774 0.226 0.000
I6 0.774 0.774 0.549

=====

VASP calculation (GGA-PBE) on a relaxed structure of CsCrSeI2.

## Properties
* SG: P4/mmm (123)
* uncorrected formation energy: -64.5 kJ/mol of atoms

abc: 5.995 5.995 4.832
angles: 90.00 90.00 90.00
Fractional coordinates of all 5 atoms:
Cs1 0.000 0.000 0.000
Cr1 0.500 0.500 0.500
Se1 0.500 0.500 0.000
I1 0.000 0.500 0.500
I2 0.500 0.000 0.500

=====

VASP calculation (GGA-PBE) on a relaxed structure of Cs2CrSnI6.

## Properties
* SG: I4/mmm (139)
* uncorrected formation energy: -82.2 kJ/mol of atoms

abc: 8.509 8.509 8.509
angles: 120.04 120.04 89.93
Fractional coordinates of all 10 atoms:
Cs1 0.250 0.750 0.500
Cs2 0.750 0.250 0.500
Cr1 0.000 0.000 0.000
Sn1 0.500 0.500 0.000
I1 0.238 0.238 0.000
I2 0.238 0.238 0.476
I3 0.238 0.762 0.000
I4 0.762 0.238 0.000
I5 0.762 0.762 0.000
I6 0.762 0.762 0.524

=====

VASP calculation (GGA-PBE) on a relaxed structure of CsSrCrI6.

## Properties
* SG: P312 (149)
* uncorrected formation energy: -102.1 kJ/mol of atoms

abc: 8.001 8.001 8.382
angles: 90.00 90.00 120.00
Fractional coordinates of all 9 atoms:
Cs1 0.000 0.000 0.000
Sr1 0.333 0.667 0.500
Cr1 0.667 0.333 0.500
I1 0.393 0.048 0.696
I2 0.393 0.345 0.304
I3 0.655 0.048 0.304
I4 0.655 0.607 0.696
I5 0.952 0.345 0.696
I6 0.952 0.607 0.304

=====

VASP calculation (GGA-PBE) on a relaxed structure of Cs2SrCrI6.

## Properties
* SG: Fm-3m (225)
* uncorrected formation energy: -113.7 kJ/mol of atoms
* energy relative to the lowest polymorph listed for this composition: 26 kJ/mol of formula units

abc: 8.655 8.655 8.655
angles: 60.00 60.00 60.00
Fractional coordinates of all 10 atoms:
Cs1 0.250 0.250 0.250
Cs2 0.750 0.750 0.750
Sr1 0.000 0.000 0.000
Cr1 0.500 0.500 0.500
I1 0.265 0.265 0.735
I2 0.265 0.735 0.265
I3 0.265 0.735 0.735
I4 0.735 0.265 0.265
I5 0.735 0.265 0.735
I6 0.735 0.735 0.265

=====

VASP calculation (GGA-PBE) on a relaxed structure of Cs2SrCrI6.

## Properties
* SG: P-3m1 (164)
* uncorrected formation energy: -116.3 kJ/mol of atoms
* energy relative to the lowest polymorph listed for this composition: 0 kJ/mol of formula units

abc: 8.476 8.476 7.722
angles: 90.00 90.00 120.00
Fractional coordinates of all 10 atoms:
Cs1 0.333 0.667 0.306
Cs2 0.667 0.333 0.694
Sr1 0.000 0.000 0.000
Cr1 0.000 0.000 0.500
I1 0.163 0.327 0.716
I2 0.163 0.837 0.716
I3 0.327 0.163 0.284
I4 0.673 0.837 0.716
I5 0.837 0.163 0.284
I6 0.837 0.673 0.284

=====

VASP calculation (GGA-PBE) on a relaxed structure of Cs2TaCrI6.

## Properties
* SG: I4/mmm (139)
* uncorrected formation energy: -59.2 kJ/mol of atoms

abc: 8.304 8.304 8.304
angles: 120.04 120.04 89.93
Fractional coordinates of all 10 atoms:
Cs1 0.250 0.750 0.500
Cs2 0.750 0.250 0.500
Ta1 0.000 0.000 0.000
Cr1 0.500 0.500 0.000
I1 0.245 0.245 0.000
I2 0.245 0.245 0.491
I3 0.245 0.755 0.000
I4 0.755 0.245 0.000
I5 0.755 0.755 0.000
I6 0.755 0.755 0.509

=====

VASP calculation (GGA-PBE) on a relaxed structure of CsCrTeI2.

## Properties
* SG: P4/mmm (123)
* uncorrected formation energy: -54.9 kJ/mol of atoms

abc: 5.946 5.946 5.298
angles: 90.00 90.00 90.00
Fractional coordinates of all 5 atoms:
Cs1 0.000 0.000 0.000
Cr1 0.500 0.500 0.500
Te1 0.500 0.500 0.000
I1 0.000 0.500 0.500
I2 0.500 0.000 0.500

=====

VASP calculation (GGA-PBE) on a relaxed structure of Cs2TlCrI6.

## Properties
* SG: Fm-3m (225)
* uncorrected formation energy: -86.8 kJ/mol of atoms

abc: 8.635 8.635 8.635
angles: 60.00 60.00 60.00
Fractional coordinates of all 10 atoms:
Cs1 0.250 0.250 0.250
Cs2 0.750 0.750 0.750
Tl1 0.000 0.000 0.000
Cr1 0.500 0.500 0.500
I1 0.274 0.274 0.726
I2 0.274 0.726 0.274
I3 0.274 0.726 0.726
I4 0.726 0.274 0.274
I5 0.726 0.274 0.726
I6 0.726 0.726 0.274

=====

VASP calculation (GGA-PBE) on a relaxed structure of CsTlCr2I8.

## Properties
* SG: R-3 (148)
* uncorrected formation energy: -48.8 kJ/mol of atoms

abc: 11.873 11.873 11.873
angles: 37.96 37.96 37.96
Fractional coordinates of all 12 atoms:
Cs1 0.000 0.000 0.000
Tl1 0.500 0.500 0.500
Cr1 0.252 0.252 0.252
Cr2 0.748 0.748 0.748
I1 0.074 0.803 0.431
I2 0.197 0.569 0.926
I3 0.330 0.330 0.330
I4 0.431 0.074 0.803
I5 0.569 0.926 0.197
I6 0.670 0.670 0.670
I7 0.803 0.431 0.074
I8 0.926 0.197 0.569

=====

VASP calculation (GGA-PBE) on a relaxed structure of CsTl2CrI8.

## Properties
* SG: P-1 (2)
* uncorrected formation energy: -54.4 kJ/mol of atoms

abc: 6.487 8.012 10.293
angles: 88.82 73.11 82.23
Fractional coordinates of all 12 atoms:
Cs1 0.000 0.000 0.000
Tl1 0.291 0.449 0.330
Tl2 0.709 0.551 0.670
Cr1 0.000 0.000 0.500
I1 0.152 0.223 0.633
I2 0.194 0.734 0.616
I3 0.253 0.495 0.992
I4 0.353 0.997 0.275
I5 0.647 0.003 0.725
I6 0.747 0.505 0.008
I7 0.806 0.266 0.384
I8 0.848 0.777 0.367

=====

VASP calculation (GGA-PBE) on a relaxed structure of Cs3Tl3CrI8.

## Properties
* SG: R-3m (166)
* uncorrected formation energy: -87.5 kJ/mol of atoms

abc: 10.133 10.133 10.133
angles: 63.05 63.05 63.05
Fractional coordinates of all 15 atoms:
Cs1 0.000 0.500 0.500
Cs2 0.500 0.000 0.500
Cs3 0.500 0.500 0.000
Tl1 0.000 0.000 0.500
Tl2 0.000 0.500 0.000
Tl3 0.500 0.000 0.000
Cr1 0.000 0.000 0.000
I1 0.187 0.799 0.799
I2 0.201 0.201 0.813
I3 0.201 0.813 0.201
I4 0.241 0.241 0.241
I5 0.759 0.759 0.759
I6 0.799 0.187 0.799
I7 0.799 0.799 0.187
I8 0.813 0.201 0.201